Record 1
Below is crystalline ZrRh2Br at its relaxed geometry, with properties calculated at the GGA-PBE level.

As for the total energy: -6.47 eV per atom. The formation energy from raw total energies comes out at -0.24 eV/atom. Its volume is 22.23 Å³ per atom. Its distance to the lowest polymorph of the same formula is 0.1274 eV/atom.

The space group is P4mm (No. 99) and the conventional cell measures 3.425, 3.425 and 7.582 Å, with angles of 90.00, 90.00 and 90.00 degrees. The inequivalent atoms are Zr at (0.000, 0.000, 0.000), Rh at (0.000, 0.000, 0.676), Rh at (0.500, 0.500, 0.793) and Br at (0.500, 0.500, 0.239).

Record 2
Below is crystalline ZrRh2Br at its relaxed geometry, with properties calculated at the GGA-PBE level.

As for the total energy: -6.20 eV per atom. The formation energy from raw total energies comes out at 0.03 eV/atom. Its volume is 17.64 Å³ per atom. Its distance to the lowest polymorph of the same formula is 0.3959 eV/atom.

The space group is Cmmm (No. 65) and the conventional cell measures 5.793, 7.252 and 3.359 Å, with angles of 90.00, 90.00 and 90.00 degrees. The inequivalent atoms are Zr at (0.000, 0.000, 0.000), Rh at (0.250, 0.250, 0.500) and Br at (0.000, 0.500, 0.000).

Record 3
Below is crystalline ZrRh2Br at its relaxed geometry, with properties calculated at the GGA-PBE level.

As for the total energy: -6.48 eV per atom. The formation energy from raw total energies comes out at -0.24 eV/atom. Its volume is 21.32 Å³ per atom. Its distance to the lowest polymorph of the same formula is 0.1231 eV/atom.

The space group is Pm (No. 6) and the conventional cell measures 3.445, 3.414 and 7.452 Å, with angles of 90.00, 103.29 and 90.00 degrees. The inequivalent atoms are Zr at (0.000, 0.000, 0.000), Rh at (0.168, 0.000, 0.340), Rh at (0.607, 0.500, 0.215) and Br at (0.376, 0.500, 0.749).

Record 4
Below is crystalline ZrRh4Br at its relaxed geometry, with properties calculated at the GGA-PBE level.

As for the total energy: -6.52 eV per atom. The formation energy from raw total energies comes out at 0.09 eV/atom. Its volume is 17.04 Å³ per atom.

The space group is F-43m (No. 216) and the conventional cell measures 7.422, 7.422 and 7.422 Å, with angles of 90.00, 90.00 and 90.00 degrees. The inequivalent atoms are Zr at (0.000, 0.000, 0.000), Rh at (0.126, 0.126, 0.374) and Br at (0.250, 0.250, 0.750).

Record 5
Below is crystalline ZrRh2Br at its relaxed geometry, with properties calculated at the GGA-PBE level.

As for the total energy: -6.53 eV per atom. The formation energy from raw total energies comes out at -0.30 eV/atom. Its volume is 18.46 Å³ per atom. Its distance to the lowest polymorph of the same formula is 0.0641 eV/atom.

The space group is Pmmm (No. 47) and the conventional cell measures 3.345, 3.371 and 6.546 Å, with angles of 90.00, 90.00 and 90.00 degrees. The inequivalent atoms are Zr at (0.000, 0.000, 0.000), Rh at (0.500, 0.500, 0.218) and Br at (0.000, 0.000, 0.500).

Record 6
Below is crystalline ZrRh2Br at its relaxed geometry, with properties calculated at the GGA-PBE level.

As for the total energy: -6.33 eV per atom. The formation energy from raw total energies comes out at -0.10 eV/atom. Its volume is 17.10 Å³ per atom. Its distance to the lowest polymorph of the same formula is 0.2694 eV/atom.

The space group is Pmmm (No. 47) and the conventional cell measures 3.223, 4.442 and 4.777 Å, with angles of 90.00, 90.00 and 90.00 degrees. The inequivalent atoms are Zr at (0.000, 0.000, 0.000), Rh at (0.000, 0.500, 0.500), Rh at (0.500, 0.500, 0.000) and Br at (0.500, 0.000, 0.500).